1.
16
Lattice="-3.661 -4.518 -3.012 -1.814 -4.268 8.607 -9.102 6.504 1.307" Properties=species:S:1:pos:R:3 comment="PBE Sr3InTe4, optimized geometry" raw_formation_energy_ev_per_fu=-9.80 crystal_system=orthorhombic pbc="T T T"
Sr -3.592 -6.139 5.533
Sr -3.693 -1.533 5.869
Sr -4.976 -2.326 1.496
Sr -5.077 2.279 1.832
Sr -9.469 0.885 2.141
Sr -8.302 1.760 6.531
In -0.538 -1.012 1.292
In -8.111 -2.822 6.090
Te -1.776 -3.913 7.106
Te -2.383 -3.292 -0.213
Te -3.072 -0.099 2.961
Te -5.598 -3.761 4.404
Te -6.289 -0.572 7.576
Te -6.894 0.052 0.259
Te -10.073 -0.563 5.046
Te -7.699 3.207 3.625

---

2.
68
Lattice="-9.125 2.823 -1.625 -1.215 -7.472 -6.156 -4.253 -7.804 10.311" Properties=species:S:1:pos:R:3 comment="PBE Ta2Nb3O12, optimized geometry" raw_formation_energy_ev_per_fu=-44.55 crystal_system=orthorhombic pbc="T T T"
Ta -11.767 -12.014 1.907
Ta -8.512 -1.088 2.534
Ta -7.983 -2.767 -3.266
Ta -10.049 -6.213 2.260
Ta -4.544 -6.239 0.270
Ta -6.610 -9.686 5.796
Ta -6.081 -11.365 -0.004
Ta -2.826 -0.438 0.623
Nb -11.916 -6.759 -1.042
Nb -12.499 -8.746 3.635
Nb -9.797 -5.248 -5.447
Nb -7.570 -3.971 0.296
Nb -8.445 -4.118 4.951
Nb -9.366 -8.184 7.916
Nb -5.227 -4.269 -5.385
Nb -6.148 -8.334 -2.421
Nb -7.023 -8.481 2.234
Nb -4.796 -7.205 7.978
Nb -2.094 -3.707 -1.105
Nb -2.677 -5.693 3.573
O -12.152 -4.723 6.899
O -11.251 -4.602 2.417
O -10.278 -1.780 1.849
O -9.490 -1.626 -2.654
O -10.727 -7.418 -2.341
O -12.326 -10.147 2.394
O -9.285 -4.058 -4.085
O -11.047 -6.737 0.624
O -9.662 -7.051 -4.886
O -11.226 -7.378 3.326
O -12.241 -9.486 5.323
O -8.657 -4.941 -6.887
O -8.842 -5.092 1.065
O -8.570 -2.566 3.932
O -9.466 -3.938 6.536
O -7.957 -3.715 -1.540
O -9.942 -6.404 7.734
O -7.625 -2.351 1.248
O -9.074 -5.527 3.876
O -6.595 -1.522 -2.580
O -10.270 -11.813 3.243
O -7.952 -8.059 -2.881
O -6.511 -3.885 -4.072
O -8.716 -7.675 2.071
O -5.877 -4.777 0.459
O -8.082 -8.568 6.603
O -6.641 -4.393 5.412
O -4.323 -0.639 -0.713
O -7.998 -10.931 5.111
O -5.518 -6.926 -1.346
O -6.968 -10.101 1.282
O -4.651 -6.049 -5.203
O -6.636 -8.738 4.070
O -5.127 -8.514 -4.006
O -6.023 -9.887 -1.402
O -5.751 -7.361 1.465
O -5.935 -7.511 9.417
O -2.352 -2.967 -2.793
O -3.367 -5.075 -0.795
O -4.931 -5.401 7.416
O -3.546 -5.715 1.906
O -5.308 -8.395 6.615
O -2.267 -2.305 0.136
O -3.866 -5.035 4.871
O -5.103 -10.827 5.184
O -4.315 -10.673 0.681
O -3.342 -7.850 0.114
O -2.441 -7.729 -4.368

---

3.
5
Lattice="-3.573 -1.462 -2.804 -2.588 -1.674 4.171 -2.081 4.273 0.424" Properties=species:S:1:pos:R:3 comment="PBE NaZrCrCu2, optimized geometry" crystal_system=tetragonal ef_kj_per_mol_atoms=197 pbc="T T T"
Cr -4.121 0.569 0.895
Cu -1.040 2.136 0.212
Cu -1.787 -0.731 -1.402
Zr 0.000 0.000 0.000
Na -1.294 -0.837 2.085

---

4.
4
Lattice="-3.907 1.968 0.205 -3.645 -2.273 -0.855 -2.779 -0.982 3.240" Properties=species:S:1:pos:R:3 comment="PBE TaCoRe2, optimized geometry" crystal_system=cubic ef_kj_per_mol_atoms=5 pbc="T T T"
Co -5.166 -0.643 1.295
Re 0.000 0.000 0.000
Re -2.583 -0.322 0.648
Ta -7.749 -0.965 1.943

---

5.
5
Lattice="-0.825 -0.649 4.833 1.967 -4.529 -0.272 4.462 1.877 1.013" Properties=species:S:1:pos:R:3 comment="PBE CsTi3Cu, optimized geometry" crystal_system=cubic ef_kj_per_mol_atoms=212 pbc="T T T"
Cs 0.000 0.000 0.000
Cu 2.802 -1.650 2.787
Ti 0.984 -2.265 -0.136
Ti 2.231 0.939 0.507
Ti -0.412 -0.324 2.417

---

6.
16
Lattice="-4.010 0.451 0.121 1.279 -5.524 -4.393 -0.677 -8.999 11.119" Properties=species:S:1:pos:R:3 comment="PBE KMgSc2Se4, optimized geometry" raw_formation_energy_ev_per_fu=-11.45 crystal_system=orthorhombic pbc="T T T"
K -0.681 -8.016 7.303
K -2.727 -6.056 -0.456
Mg -3.004 -10.104 5.472
Mg -0.405 -3.968 1.375
Sc -0.918 -8.932 2.866
Sc -2.220 -1.548 -0.458
Sc -2.490 -5.140 3.980
Sc -1.188 -12.524 7.305
Se -0.448 -3.688 -1.104
Se -2.762 -7.746 4.692
Se -2.960 -10.384 7.951
Se -0.646 -6.326 2.155
Se -0.338 -4.499 5.559
Se 0.000 0.000 0.000
Se -1.152 -11.449 4.497
Se -2.256 -2.624 2.350

---

Calculated E_tot in order - -3.769 -9.292 -3.494 -10.913 -3.533 -5.093 eV/atom
Calculated magnetic moment in order - 0.00 0.00 0.66 1.39 3.15 0.00 μB/cell